# La4HgAu2, optimized geometry, DFT PBE
# formation energy from the elements	-0.52	eV/atom
# ΔE to the lowest computed polymorph	0.000	eV/atom
# density of states at the Fermi level	1.5153	states/eV per atom
data_La4HgAu2
_symmetry_space_group_name_H-M 'R -3 m'
_symmetry_Int_Tables_number 166
_symmetry_space_group_name_Hall '-R 3 2"'
_cell_length_a 5.3588
_cell_length_b 5.3588
_cell_length_c 25.7778
_cell_angle_alpha 90.00
_cell_angle_beta 90.00
_cell_angle_gamma 120.00
loop_
_atom_site_label
_atom_site_type_symbol
_atom_site_fract_x
_atom_site_fract_y
_atom_site_fract_z
La1 La 0.0000 0.0000 0.1194
La2 La 0.0000 0.0000 0.3714
Hg1 Hg 0.0000 0.0000 0.5000
Au1 Au 0.0000 0.0000 0.2498